1.
A geometry-optimized BaZnBr2 structure. Source: the Alexandria database, functional PBE-GGA.

Cell: 4.980 4.980 9.750 Å, 75.27 75.27 60.02°
Atoms (fractional coordinates):
Ba 0.250 0.250 0.250
Zn 0.750 0.750 0.750
Br 0.528 0.528 0.416
Br 0.972 0.972 0.084

Summary:
uncorrected energy = -2.9773 eV/atom
formation energy from raw total energies = -5.4 eV per formula unit
excess energy over the best structure of this formula in the dataset = 0 meV per atom
symmetry = No. 12

2.
A geometry-optimized KVH3 structure. Source: the Alexandria database, functional PBE-GGA.

Cell: 4.296 4.296 4.296 Å, 90.00 90.00 90.00°
Atoms (fractional coordinates):
K 0.000 0.000 0.000
H 0.500 0.000 0.000
H 0.000 0.000 0.500
H 0.000 0.500 0.000
V 0.500 0.500 0.500

Summary:
uncorrected energy = -2.7838 eV/atom
excess energy over the best structure of this formula in the dataset = 1295 meV per atom
symmetry = No. 221

3.
A geometry-optimized Ac4Ga2Cl structure. Source: the Alexandria database, functional PBE-GGA.

Cell: 5.868 5.868 8.609 Å, 109.93 109.93 90.00°
Atoms (fractional coordinates):
Ac 0.000 0.500 0.000
Ac 0.793 0.793 0.586
Ac 0.207 0.207 0.414
Ac 0.500 0.000 0.000
Cl 0.000 0.000 0.000
Ga 0.410 0.410 0.819
Ga 0.590 0.590 0.181

Summary:
uncorrected energy = -3.9380 eV/atom
formation energy from raw total energies = -3.2 eV per formula unit
symmetry = No. 139